1.
Below is a relaxed structure of Cs4Na5Hg, with properties calculated at the PBE-GGA level.

* ΔH_f (0 K): -0.03 eV/atom
* DOS at the Fermi energy: 6.95 states/eV/cell
* size of the total moment: 0.000 μB per formula unit

Unit cell a=6.9819 b=9.9152 c=9.9152 alpha=82.88 beta=69.39 gamma=69.39
Closest atoms and distances in Å follow each position.
Fractional coordinates of all 10 atoms:
Cs1 0.2720 0.2885 0.2882  1 Hg 4.16, 7 Na 4.17-4.56
Na1 0.3079 0.0000 0.0000  2 Hg 3.49, 4 Na 3.51
Cs2 0.5605 0.2882 0.7115  1 Hg 4.16, 7 Na 4.17-4.56
Hg1 0.8085 0.0000 0.0000  6 Na 3.33-3.49
Cs3 0.8487 0.7115 0.7118  1 Hg 4.16, 7 Na 4.17-4.56
Na2 0.1914 0.6835 0.9998  1 Hg 3.33, 1 Na 3.51
Cs4 0.5602 0.7118 0.2885  1 Hg 4.16, 7 Na 4.17-4.56
Na3 0.8746 0.3165 0.0002  1 Hg 3.33, 1 Na 3.51
Na4 0.8749 0.9998 0.3165  1 Hg 3.33, 1 Na 3.51
Na5 0.1911 0.0002 0.6835  1 Hg 3.33, 1 Na 3.51

2.
Below is a relaxed structure of Zr2GaSb, with properties calculated at the PBE-GGA level.

* DOS at the Fermi energy: 3.31 states/eV/cell
* raw formation energy: -0.62 eV per atom
* size of the total moment: 0.000 μB per formula unit

Unit cell a=4.0403 b=5.6602 c=7.9469 alpha=110.95 beta=90.00 gamma=90.00
Closest atoms and distances in Å follow each position.
Fractional coordinates of all 8 atoms:
Zr1 0.2500 0.7881 0.5631  3 Ga 2.72-2.82, 2 Sb 2.94
Zr2 0.7500 0.2235 0.9212  2 Ga 2.81, 4 Sb 2.90-3.07
Ga1 0.7500 0.6968 0.2989  5 Zr 2.72-2.82, 2 Sb 2.82
Sb1 0.2500 0.3257 0.2077  2 Ga 2.82, 7 Zr 2.90-3.09
Zr3 0.7500 0.2119 0.4369  3 Ga 2.72-2.82, 2 Sb 2.94
Sb2 0.7500 0.6743 0.7923  2 Ga 2.82, 7 Zr 2.90-3.09
Ga2 0.2500 0.3032 0.7011  5 Zr 2.72-2.82, 2 Sb 2.82
Zr4 0.2500 0.7765 0.0788  2 Ga 2.81, 4 Sb 2.90-3.07

3.
Below is a relaxed structure of CeSiRhC, with properties calculated at the PBE-GGA level.

* DOS at the Fermi energy: 8.07 states/eV/cell
* raw formation energy: -0.68 eV per atom
* size of the total moment: 0.425 μB per formula unit

Unit cell a=3.9376 b=3.9376 c=8.4044 alpha=90.00 beta=90.00 gamma=90.00
Closest atoms and distances in Å follow each position.
Fractional coordinates of all 8 atoms:
Si1 0.0000 0.5000 0.3440  1 C 1.84
Rh1 0.5000 0.5000 0.5000  4 Si 2.37
Ce1 0.0000 0.5000 0.8452  1 C 2.35
Rh2 0.0000 0.0000 0.5000  4 Si 2.37
C1 0.5000 0.0000 0.8746  1 Si 1.84
Si2 0.5000 0.0000 0.6560  1 C 1.84
C2 0.0000 0.5000 0.1254  1 Si 1.84
Ce2 0.5000 0.0000 0.1548  1 C 2.35

4.
Below is a relaxed structure of Nb6VW2, with properties calculated at the PBE-GGA level.

* energy relative to the lowest polymorph listed for this composition: 0.00 eV/f.u.
* ΔH_f (0 K): -0.01 eV/atom
* DOS at the Fermi energy: 11.78 states/eV/cell
* size of the total moment: 0.000 μB per formula unit

Unit cell a=3.2624 b=5.3918 c=9.6221 alpha=75.09 beta=80.24 gamma=72.39
Closest atoms and distances in Å follow each position.
Fractional coordinates of all 9 atoms:
Nb1 0.6714 0.2176 0.4397  6 Nb 2.80-2.90, 2 W 2.86
Nb2 0.0013 0.6701 0.3274  2 W 2.77, 6 Nb 2.81-2.90
Nb3 0.6709 0.5497 0.1084  4 Nb 2.76-2.81, 2 W 2.82, 2 V 2.83
W1 0.3423 0.1015 0.2140  2 V 2.74, 6 Nb 2.77-2.86
Nb4 0.3286 0.7824 0.5603  6 Nb 2.80-2.90, 2 W 2.86
Nb5 0.9987 0.3299 0.6726  2 W 2.77, 6 Nb 2.81-2.90
W2 0.6577 0.8985 0.7860  2 V 2.74, 6 Nb 2.77-2.86
Nb6 0.3291 0.4503 0.8916  4 Nb 2.76-2.81, 2 W 2.82, 2 V 2.83
V1 0.0000 0.0000 0.0000  4 W 2.74, 4 Nb 2.83